Record 1
## YTlCu (PBE)

Data for YTlCu after structural relaxation.

Properties
- Theoretical density: 7.2 g/cm³
- Magnetic moment: 0.0 μB/f.u.
- Symmetry: F-43m (216)
- Final energy: -0.2946 Ry per atom
- ΔH_f (0 K): 28.95 kJ per mole of atoms

Cell lengths 4.8766, 4.8766, 4.8766 Å; angles 60.00, 60.00, 60.00 degrees
Last column: nearest neighbours and their distance in Å.
Atoms (fractional coordinates):
1 Y 0.0000 0.0000 0.0000  4 Tl 2.99, 4 Cu 2.99
2 Tl 0.7500 0.7500 0.7500  4 Y 2.99
3 Cu 0.2500 0.2500 0.2500  4 Y 2.99

---

Record 2
## Y2TlCu (PBE)

Data for Y2TlCu after structural relaxation.

Properties
- Theoretical density: 7.5 g/cm³
- Magnetic moment: 0.0 μB/f.u.
- Symmetry: Cmmm (65)
- Final energy: -0.3745 Ry per atom
- ΔH_f (0 K): -23.88 kJ per mole of atoms

Cell lengths 5.1768, 5.1768, 3.6977 Å; angles 90.00, 90.00, 90.07 degrees
Last column: nearest neighbours and their distance in Å.
Atoms (fractional coordinates):
1 Y 0.0000 0.5000 0.0000  4 Tl 3.18, 4 Cu 3.18
2 Y 0.5000 0.0000 0.0000  4 Tl 3.18, 4 Cu 3.18
3 Tl 0.0000 0.0000 0.5000  8 Y 3.18
4 Cu 0.5000 0.5000 0.5000  8 Y 3.18

---

Record 3
## YTl2Cu2 (PBE)

Data for YTl2Cu2 after structural relaxation.

Properties
- Theoretical density: 9.6 g/cm³
- Excess energy over the best structure of this formula in the dataset: 22 meV/atom
- Magnetic moment: 0.0 μB/f.u.
- Symmetry: P4/mbm (127)
- Final energy: -0.2840 Ry per atom
- ΔH_f (0 K): 1.31 kJ per mole of atoms

Cell lengths 7.2805, 7.2805, 4.0946 Å; angles 90.00, 90.00, 90.00 degrees
Last column: nearest neighbours and their distance in Å.
Atoms (fractional coordinates):
1 Y 0.0000 0.0000 0.0000  4 Cu 2.92
2 Y 0.5000 0.5000 0.0000  4 Cu 2.92
3 Tl 0.1854 0.3146 0.5000  6 Cu 2.89-3.04
4 Tl 0.3146 0.8146 0.5000  6 Cu 2.89-3.04
5 Tl 0.6854 0.1854 0.5000  6 Cu 2.89-3.04
6 Tl 0.8146 0.6854 0.5000  6 Cu 2.89-3.04
7 Cu 0.1161 0.6161 0.0000  1 Cu 2.39
8 Cu 0.3839 0.1161 0.0000  1 Cu 2.39
9 Cu 0.6161 0.8839 0.0000  1 Cu 2.39
10 Cu 0.8839 0.3839 0.0000  1 Cu 2.39

---

Record 4
## YTl2Cu (PBE)

Data for YTl2Cu after structural relaxation.

Properties
- Theoretical density: 9.6 g/cm³
- Excess energy over the best structure of this formula in the dataset: 48 meV/atom
- Magnetic moment: 0.0 μB/f.u.
- Symmetry: P2/m (10)
- Final energy: -0.2838 Ry per atom
- ΔH_f (0 K): -3.71 kJ per mole of atoms

Cell lengths 3.6418, 4.6301, 5.8547 Å; angles 90.00, 99.12, 90.00 degrees
Last column: nearest neighbours and their distance in Å.
Atoms (fractional coordinates):
1 Y 0.0000 0.0000 0.0000  8 Tl 3.17-3.52, 2 Cu 3.19
2 Tl 0.3443 0.5000 0.7290  2 Cu 2.78, 1 Tl 3.07
3 Tl 0.6557 0.5000 0.2710  2 Cu 2.78, 1 Tl 3.07
4 Cu 0.5000 0.0000 0.5000  4 Tl 2.78

---

Record 5
## Y2TlCu (PBE)

Data for Y2TlCu after structural relaxation.

Properties
- Theoretical density: 7.6 g/cm³
- Magnetic moment: 1.2 μB/f.u.
- Symmetry: F-43m (216)
- Final energy: -0.3423 Ry per atom
- ΔH_f (0 K): 18.32 kJ per mole of atoms

Cell lengths 5.1648, 5.1648, 5.1648 Å; angles 60.00, 60.00, 60.00 degrees
Last column: nearest neighbours and their distance in Å.
Atoms (fractional coordinates):
1 Y 0.0000 0.0000 0.0000  4 Tl 3.16, 4 Y 3.16
2 Y 0.2500 0.2500 0.2500  4 Cu 3.16, 4 Y 3.16
3 Tl 0.7500 0.7500 0.7500  4 Cu 3.16, 4 Y 3.16
4 Cu 0.5000 0.5000 0.5000  4 Tl 3.16, 4 Y 3.16

---

Record 6
## YTl2Cu (PBE)

Data for YTl2Cu after structural relaxation.

Properties
- Theoretical density: 9.9 g/cm³
- Excess energy over the best structure of this formula in the dataset: 0 meV/atom
- Magnetic moment: 0.0 μB/f.u.
- Symmetry: P4/mmm (123)
- Final energy: -0.2873 Ry per atom
- ΔH_f (0 K): -8.32 kJ per mole of atoms

Cell lengths 4.6854, 4.6854, 4.2948 Å; angles 90.00, 90.00, 90.00 degrees
Last column: nearest neighbours and their distance in Å.
Atoms (fractional coordinates):
1 Y 0.0000 0.0000 0.0000  8 Tl 3.18, 4 Cu 3.31
2 Tl 0.0000 0.5000 0.5000  4 Cu 3.18, 4 Y 3.18, 4 Tl 3.31
3 Tl 0.5000 0.0000 0.5000  4 Cu 3.18, 4 Y 3.18, 4 Tl 3.31
4 Cu 0.5000 0.5000 0.0000  8 Tl 3.18, 4 Y 3.31

---

Record 7
## Y4TlCu (PBE)

Data for Y4TlCu after structural relaxation.

Properties
- Theoretical density: 5.7 g/cm³
- Excess energy over the best structure of this formula in the dataset: 206 meV/atom
- Magnetic moment: 0.0 μB/f.u.
- Symmetry: P4/mmm (123)
- Final energy: -0.3959 Ry per atom
- ΔH_f (0 K): 0.00 kJ per mole of atoms

Cell lengths 4.9763, 4.9763, 7.3074 Å; angles 90.00, 90.00, 90.00 degrees
Last column: nearest neighbours and their distance in Å.
Atoms (fractional coordinates):
1 Y 0.0000 0.5000 0.2293  2 Cu 3.00, 2 Tl 3.18, 1 Y 3.35
2 Y 0.0000 0.5000 0.7707  2 Cu 3.00, 2 Tl 3.18, 1 Y 3.35
3 Y 0.5000 0.0000 0.2293  2 Cu 3.00, 2 Tl 3.18, 1 Y 3.35
4 Y 0.5000 0.0000 0.7707  2 Cu 3.00, 2 Tl 3.18, 1 Y 3.35
5 Tl 0.0000 0.0000 0.5000  8 Y 3.18
6 Cu 0.5000 0.5000 0.0000  8 Y 3.00

---

Record 8
## Y2TlCu (PBE)

Data for Y2TlCu after structural relaxation.

Properties
- Theoretical density: 7.6 g/cm³
- Magnetic moment: 0.0 μB/f.u.
- Symmetry: Pmmm (47)
- Final energy: -0.3788 Ry per atom
- ΔH_f (0 K): -29.58 kJ per mole of atoms

Cell lengths 3.5702, 3.5977, 7.5983 Å; angles 90.00, 90.00, 90.00 degrees
Last column: nearest neighbours and their distance in Å.
Atoms (fractional coordinates):
1 Y 0.0000 0.0000 0.2227  4 Cu 3.05, 4 Tl 3.30, 1 Y 3.38
2 Y 0.0000 0.0000 0.7773  4 Cu 3.05, 4 Tl 3.30, 1 Y 3.38
3 Tl 0.5000 0.5000 0.5000  8 Y 3.30, 4 Tl 3.57-3.60
4 Cu 0.5000 0.5000 0.0000  8 Y 3.05